Here is a relaxed structure of CaTl3Cd2 from Alexandria. Energies are from PBE.

Results
* magnetic moment: 0.000 μB per formula unit
* N(E_F): 4.27 states/eV per cell
* relative energy among the computed polymorphs: 0.0 meV per atom
* SG: C2/m, No. 12
* DFT formation energy: -0.124 eV per atom

Unit cell a=5.1275 b=8.1610 c=9.4571 alpha=117.19 beta=105.73 gamma=90.00
Fractional positions:
Cd 0.2316 0.5646 0.4631
Cd 0.9398 0.8022 0.8796
Cd 0.7684 0.4354 0.5369
Cd 0.0602 0.1978 0.1204
Tl 0.4226 0.5740 0.8453
Tl 0.9017 0.2956 0.8034
Tl 0.2460 0.1685 0.4919
Tl 0.5774 0.4260 0.1547
Tl 0.0983 0.7044 0.1966
Tl 0.7540 0.8315 0.5081
Ca 0.6053 0.9893 0.2107
Ca 0.3947 0.0107 0.7893